Entry from Alexandria via LeMat-Bulk: crystalline Tl3Hg7Au4 at its relaxed geometry (GGA-PBE).

Summary:
ρ   12.964 g cm⁻³
DFT formation energy   0.006 eV per atom
N(E_F)   0.26 states/eV per atom

abc: 9.392 9.392 11.148
angles: 122.25 122.25 25.89
Element x y z (fractional)
1 Tl 0.000 0.000 0.000
2 Tl 0.306 0.306 0.306
3 Tl 0.694 0.694 0.694
4 Hg 0.000 0.000 0.500
5 Hg 0.168 0.168 0.445
6 Hg 0.315 0.315 0.975
7 Hg 0.490 0.490 0.723
8 Hg 0.510 0.510 0.277
9 Hg 0.685 0.685 0.025
10 Hg 0.832 0.832 0.555
11 Au 0.119 0.119 0.812
12 Au 0.347 0.347 0.758
13 Au 0.653 0.653 0.242
14 Au 0.881 0.881 0.188